1.
Density functional theory data (SCAN) for a crystal of MnHgOs relaxed with PBEsol.

abc: 4.294 4.294 4.294
angles: 60.00 60.00 60.00
Site moments in Bohr magnetons follow the coordinates.
Fractional positions:
Hg (0.000, 0.000, 0.000)  -0.03
Os (0.750, 0.750, 0.750)  -0.61
Mn (0.500, 0.500, 0.500)  3.77

Summary:
As for the space group: F-43m (216). The calculated density comes out at 13.22 g/cm³. For the formation energy, the calculation gives 0.874 eV per atom. As for the density of states at the Fermi level: 3.86 states/eV per cell. The calculation puts the magnetization at 3.25 μB per formula unit.

2.
Density functional theory data (SCAN) for a crystal of MnCu2Ag relaxed with PBEsol.

abc: 2.766 2.766 6.905
angles: 90.00 90.00 90.00
Site moments in Bohr magnetons follow the coordinates.
Fractional positions:
Cu (0.000, 0.000, 0.233)  0.10
Ag (0.500, 0.500, 0.500)  -0.02
Mn (0.500, 0.500, 0.000)  3.79
Cu (0.000, 0.000, 0.767)  0.10

Summary:
As for the space group: P4/mmm (123). The calculated density comes out at 9.11 g/cm³. As for the energy above the most stable polymorph in this dataset: 0.000 eV per formula unit. For the formation energy, the calculation gives 0.015 eV per atom. As for the density of states at the Fermi level: 1.54 states/eV per cell. The calculation puts the magnetization at 3.97 μB per formula unit.

3.
Density functional theory data (SCAN) for a crystal of AlZn2Cd relaxed with PBEsol.

abc: 3.356 4.130 5.149
angles: 90.00 107.42 90.00
Fractional positions:
Zn (0.804, 0.000, 0.978)
Al (0.523, 0.000, 0.439)
Cd (0.227, 0.500, 0.807)
Zn (0.946, 0.500, 0.275)

Summary:
As for the space group: Pm (6). The calculated density comes out at 6.59 g/cm³. As for the energy above the most stable polymorph in this dataset: 0.011 eV per formula unit. For the formation energy, the calculation gives 0.087 eV per atom. As for the density of states at the Fermi level: 1.00 states/eV per cell. The calculation puts the magnetization at 0.00 μB per formula unit.

Question: The highest calculated density belongs to which entry?
Answer: MnHgOs

What did the second record say?
Density functional theory data (SCAN) for a crystal of MnCu2Ag relaxed with PBEsol.

abc: 2.766 2.766 6.905
angles: 90.00 90.00 90.00
Site moments in Bohr magnetons follow the coordinates.
Fractional positions:
Cu (0.000, 0.000, 0.233)  0.10
Ag (0.500, 0.500, 0.500)  -0.02
Mn (0.500, 0.500, 0.000)  3.79
Cu (0.000, 0.000, 0.767)  0.10

Summary:
As for the space group: P4/mmm (123). The calculated density comes out at 9.11 g/cm³. As for the energy above the most stable polymorph in this dataset: 0.000 eV per formula unit. For the formation energy, the calculation gives 0.015 eV per atom. As for the density of states at the Fermi level: 1.54 states/eV per cell. The calculation puts the magnetization at 3.97 μB per formula unit.

Question: What is the formula in the first record?
Answer: MnHgOs

Repeat the second record exactly.
Density functional theory data (SCAN) for a crystal of MnCu2Ag relaxed with PBEsol.

abc: 2.766 2.766 6.905
angles: 90.00 90.00 90.00
Site moments in Bohr magnetons follow the coordinates.
Fractional positions:
Cu (0.000, 0.000, 0.233)  0.10
Ag (0.500, 0.500, 0.500)  -0.02
Mn (0.500, 0.500, 0.000)  3.79
Cu (0.000, 0.000, 0.767)  0.10

Summary:
As for the space group: P4/mmm (123). The calculated density comes out at 9.11 g/cm³. As for the energy above the most stable polymorph in this dataset: 0.000 eV per formula unit. For the formation energy, the calculation gives 0.015 eV per atom. As for the density of states at the Fermi level: 1.54 states/eV per cell. The calculation puts the magnetization at 3.97 μB per formula unit.